[1]
# Sr3MgAs2Pd9, optimized geometry, DFT GGA-PBE
data_Sr3MgAs2Pd9
_space_group_name_H-M_alt 'P -3 m 1'
_space_group_IT_number 164
_space_group_name_Hall '-P 3 2"'
_cell_length_a 6.7009
_cell_length_b 6.7009
_cell_length_c 8.6495
_cell_angle_alpha 90.00
_cell_angle_beta 90.00
_cell_angle_gamma 120.00
loop_
_atom_site_label
_atom_site_fract_x
_atom_site_fract_y
_atom_site_fract_z
Sr1 0.0000 0.0000 0.0000
Sr2 0.3333 0.6667 0.6995
Mg1 0.0000 0.0000 0.5000
As1 0.3333 0.6667 0.1711
Pd1 0.0000 0.5000 0.0000
Pd2 0.1949 0.3898 0.3893
# VASP energy   -69.75 eV per formula unit
# V   336.3 Å³ per cell
# ΔE_f   -0.472 eV/atom


[2]
# Ba4PPd2, optimized geometry, DFT GGA-PBE
data_Ba4PPd2
_space_group_name_H-M_alt 'I 4/m m m'
_space_group_IT_number 139
_space_group_name_Hall '-I 4 2'
_cell_length_a 6.316
_cell_length_b 6.316
_cell_length_c 15.147
_cell_angle_alpha 90.00
_cell_angle_beta 90.00
_cell_angle_gamma 90.00
loop_
_atom_site_label
_atom_site_fract_x
_atom_site_fract_y
_atom_site_fract_z
Ba1 0.000 0.000 0.203
Ba2 0.000 0.500 0.000
P1 0.000 0.000 0.000
Pd1 0.000 0.000 0.411
# VASP energy   -26.43 eV per formula unit
# V   604.3 Å³ per cell
# ΔE_f   -0.420 eV/atom


[3]
# Nb2Cd2H, optimized geometry, DFT GGA-PBE
data_Nb2Cd2H
_space_group_name_H-M_alt 'I 4/m m m'
_space_group_IT_number 139
_space_group_name_Hall '-I 4 2'
_cell_length_a 3.796
_cell_length_b 3.796
_cell_length_c 14.010
_cell_angle_alpha 90.00
_cell_angle_beta 90.00
_cell_angle_gamma 90.00
loop_
_atom_site_label
_atom_site_fract_x
_atom_site_fract_y
_atom_site_fract_z
Nb1 0.000 0.000 0.080
Cd1 0.000 0.500 0.250
H1 0.000 0.000 0.500
# VASP energy   -19.67 eV per formula unit
# V   201.8 Å³ per cell


[4]
# ReTc, optimized geometry, DFT GGA-PBE
data_ReTc
_space_group_name_H-M_alt 'P 4/n m m'
_space_group_IT_number 129
_cell_length_a 3.133
_cell_length_b 3.133
_cell_length_c 6.097
_cell_angle_alpha 90.00
_cell_angle_beta 90.00
_cell_angle_gamma 90.00
loop_
_space_group_symop_operation_xyz
'x,y,z'
'-x,-y,-z'
'-y+1/2,x,z'
'y+1/2,-x,-z'
'-x+1/2,-y+1/2,z'
'x+1/2,y+1/2,-z'
'y,-x+1/2,z'
'-y,x+1/2,-z'
'x+1/2,-y,-z'
'-x+1/2,y,z'
'-y,-x,-z'
'y,x,z'
'-x,y+1/2,-z'
'x,-y+1/2,z'
'y+1/2,x+1/2,-z'
'-y+1/2,-x+1/2,z'
loop_
_atom_site_label
_atom_site_fract_x
_atom_site_fract_y
_atom_site_fract_z
Re1 0.250 0.250 0.122
Tc1 0.250 0.250 0.626
# VASP energy   -22.26 eV per formula unit
# V   59.8 Å³ per cell
# ΔE_f   0.279 eV/atom


[5]
# PuW4Se8, optimized geometry, DFT GGA-PBE
data_PuW4Se8
_space_group_name_H-M_alt 'R -3 m'
_space_group_IT_number 166
_space_group_name_Hall '-R 3 2"'
_cell_length_a 6.8616
_cell_length_b 6.8616
_cell_length_c 21.9024
_cell_angle_alpha 90.00
_cell_angle_beta 90.00
_cell_angle_gamma 120.00
loop_
_atom_site_label
_atom_site_fract_x
_atom_site_fract_y
_atom_site_fract_z
Pu1 0.0000 0.0000 0.0000
W1 0.0000 0.0000 0.5000
W2 0.0000 0.5000 0.5000
Se1 0.0000 0.0000 0.2423
Se2 0.0095 0.5048 0.2428
# VASP energy   -97.65 eV per formula unit
# V   893.0 Å³ per cell


[6]
# La3InGe2Au6, optimized geometry, DFT GGA-PBE
data_La3InGe2Au6
_space_group_name_H-M_alt 'P -3 m 1'
_space_group_IT_number 164
_space_group_name_Hall '-P 3 2"'
_cell_length_a 6.3688
_cell_length_b 6.3688
_cell_length_c 8.4723
_cell_angle_alpha 90.00
_cell_angle_beta 90.00
_cell_angle_gamma 120.00
loop_
_atom_site_label
_atom_site_fract_x
_atom_site_fract_y
_atom_site_fract_z
La1 0.0000 0.0000 0.0000
La2 0.3333 0.6667 0.6439
In1 0.0000 0.0000 0.5000
Ge1 0.3333 0.6667 0.0317
Au1 0.1813 0.3626 0.2735
# VASP energy   -52.49 eV per formula unit
# V   297.6 Å³ per cell
# ΔE_f   -0.506 eV/atom


[7]
# LiGaAg4, optimized geometry, DFT GGA-PBE
data_LiGaAg4
_space_group_name_H-M_alt 'P 1'
_space_group_IT_number 1
_space_group_name_Hall 'P 1'
_cell_length_a 2.880
_cell_length_b 5.496
_cell_length_c 7.139
_cell_angle_alpha 75.33
_cell_angle_beta 78.68
_cell_angle_gamma 74.99
loop_
_atom_site_label
_atom_site_fract_x
_atom_site_fract_y
_atom_site_fract_z
Li1 0.000 0.000 0.000
Ga1 0.253 0.830 0.660
Ag1 0.262 0.470 0.007
Ag2 0.507 0.682 0.305
Ag3 0.756 0.145 0.345
Ag4 0.993 0.358 0.657
# VASP energy   -16.79 eV per formula unit
# V   104.6 Å³ per cell
# ΔE_f   -0.074 eV/atom


[8]
# Li3InBi2, optimized geometry, DFT GGA-PBE
data_Li3InBi2
_space_group_name_H-M_alt 'I m m a'
_space_group_IT_number 74
_space_group_name_Hall '-I 2b 2'
_cell_length_a 6.710
_cell_length_b 15.415
_cell_length_c 5.582
_cell_angle_alpha 90.00
_cell_angle_beta 90.00
_cell_angle_gamma 90.00
loop_
_atom_site_label
_atom_site_fract_x
_atom_site_fract_y
_atom_site_fract_z
Li1 0.000 0.068 0.233
Li2 0.000 0.250 0.947
In1 0.000 0.250 0.432
Bi1 0.250 0.102 0.750
# VASP energy   -18.02 eV per formula unit
# V   577.3 Å³ per cell
# ΔE_f   -0.297 eV/atom


[9]
# K2Np3CdO12, optimized geometry, DFT GGA-PBE
data_K2Np3CdO12
_space_group_name_H-M_alt 'R -3 m'
_space_group_IT_number 166
_space_group_name_Hall '-R 3 2"'
_cell_length_a 8.0151
_cell_length_b 8.0151
_cell_length_c 18.1698
_cell_angle_alpha 90.00
_cell_angle_beta 90.00
_cell_angle_gamma 120.00
loop_
_atom_site_label
_atom_site_fract_x
_atom_site_fract_y
_atom_site_fract_z
K1 0.0000 0.0000 0.1425
Np1 0.0000 0.5000 0.0000
Cd1 0.0000 0.0000 0.5000
O1 0.0437 0.5218 0.1034
O2 0.0808 0.5404 0.3478
# VASP energy   -143.88 eV per formula unit
# V   1010.9 Å³ per cell


[10]
# UVP2, optimized geometry, DFT GGA-PBE
data_UVP2
_space_group_name_H-M_alt 'P 4/m m m'
_space_group_IT_number 123
_space_group_name_Hall '-P 4 2'
_cell_length_a 3.130
_cell_length_b 3.130
_cell_length_c 6.443
_cell_angle_alpha 90.00
_cell_angle_beta 90.00
_cell_angle_gamma 90.00
loop_
_atom_site_label
_atom_site_fract_x
_atom_site_fract_y
_atom_site_fract_z
U1 0.000 0.000 0.000
V1 0.000 0.000 0.500
P1 0.500 0.500 0.295
# VASP energy   -33.03 eV per formula unit
# V   63.1 Å³ per cell
# ΔE_f   -0.451 eV/atom


[11]
# CrCuNi2, optimized geometry, DFT GGA-PBE
data_CrCuNi2
_space_group_name_H-M_alt 'C 1 m 1'
_space_group_IT_number 8
_space_group_name_Hall 'C -2y'
_cell_length_a 8.395
_cell_length_b 2.482
_cell_length_c 4.371
_cell_angle_alpha 90.00
_cell_angle_beta 99.21
_cell_angle_gamma 90.00
loop_
_atom_site_label
_atom_site_fract_x
_atom_site_fract_y
_atom_site_fract_z
Cr1 0.000 0.000 0.000
Cu1 0.245 0.000 0.722
Ni1 0.248 0.500 0.219
Ni2 0.494 0.000 0.491
# VASP energy   -24.88 eV per formula unit
# V   89.9 Å³ per cell
# ΔE_f   0.102 eV/atom


[12]
# Pr2Mg3Cd, optimized geometry, DFT GGA-PBE
data_Pr2Mg3Cd
_space_group_name_H-M_alt 'P m m 2'
_space_group_IT_number 25
_space_group_name_Hall 'P 2 -2'
_cell_length_a 3.418
_cell_length_b 5.265
_cell_length_c 9.075
_cell_angle_alpha 90.00
_cell_angle_beta 90.00
_cell_angle_gamma 90.00
loop_
_atom_site_label
_atom_site_fract_x
_atom_site_fract_y
_atom_site_fract_z
Pr1 0.000 0.000 0.000
Pr2 0.000 0.500 0.489
Mg1 0.500 0.000 0.661
Mg2 0.500 0.500 0.161
Mg3 0.500 0.500 0.826
Cd1 0.500 0.000 0.330
# VASP energy   -16.29 eV per formula unit
# V   163.3 Å³ per cell
# ΔE_f   -0.172 eV/atom


[13]
# BaSrGa2Rh, optimized geometry, DFT GGA-PBE
data_BaSrGa2Rh
_space_group_name_H-M_alt 'P 4/m m m'
_space_group_IT_number 123
_space_group_name_Hall '-P 4 2'
_cell_length_a 5.026
_cell_length_b 5.026
_cell_length_c 5.498
_cell_angle_alpha 90.00
_cell_angle_beta 90.00
_cell_angle_gamma 90.00
loop_
_atom_site_label
_atom_site_fract_x
_atom_site_fract_y
_atom_site_fract_z
Ba1 0.000 0.000 0.000
Sr1 0.500 0.500 0.000
Ga1 0.000 0.500 0.500
Rh1 0.500 0.500 0.500
# VASP energy   -18.71 eV per formula unit
# V   138.9 Å³ per cell
# ΔE_f   -0.341 eV/atom


[14]
# Pa2AgI8, optimized geometry, DFT GGA-PBE
data_Pa2AgI8
_space_group_name_H-M_alt 'C 1 2/m 1'
_space_group_IT_number 12
_space_group_name_Hall '-C 2y'
_cell_length_a 11.989
_cell_length_b 12.105
_cell_length_c 9.153
_cell_angle_alpha 90.00
_cell_angle_beta 93.03
_cell_angle_gamma 90.00
loop_
_atom_site_label
_atom_site_fract_x
_atom_site_fract_y
_atom_site_fract_z
Pa1 0.117 0.000 0.314
Ag1 0.000 0.000 0.000
I1 0.099 0.228 0.216
I2 0.141 0.500 0.695
I3 0.142 0.000 0.647
# VASP energy   -41.34 eV per formula unit
# V   1326.5 Å³ per cell


[15]
# NaY2Au, optimized geometry, DFT GGA-PBE
data_NaY2Au
_space_group_name_H-M_alt 'I -4 2 d'
_space_group_IT_number 122
_space_group_name_Hall 'I -4 2bw'
_cell_length_a 8.521
_cell_length_b 8.521
_cell_length_c 6.642
_cell_angle_alpha 90.00
_cell_angle_beta 90.00
_cell_angle_gamma 90.00
loop_
_atom_site_label
_atom_site_fract_x
_atom_site_fract_y
_atom_site_fract_z
Na1 0.000 0.000 0.000
Y1 0.198 0.250 0.625
Au1 0.000 0.000 0.500
# VASP energy   -17.65 eV per formula unit
# V   482.2 Å³ per cell
# ΔE_f   -0.031 eV/atom


[16]
# AlInFe2, optimized geometry, DFT GGA-PBE
data_AlInFe2
_space_group_name_H-M_alt 'P 4/m m m'
_space_group_IT_number 123
_space_group_name_Hall '-P 4 2'
_cell_length_a 3.148
_cell_length_b 3.148
_cell_length_c 5.856
_cell_angle_alpha 90.00
_cell_angle_beta 90.00
_cell_angle_gamma 90.00
loop_
_atom_site_label
_atom_site_fract_x
_atom_site_fract_y
_atom_site_fract_z
Al1 0.000 0.000 0.000
In1 0.000 0.000 0.500
Fe1 0.500 0.500 0.205
# VASP energy   -23.27 eV per formula unit
# V   58.0 Å³ per cell
# ΔE_f   0.035 eV/atom


[17]
# AsP2I8, optimized geometry, DFT GGA-PBE
data_AsP2I8
_space_group_name_H-M_alt 'P -1'
_space_group_IT_number 2
_space_group_name_Hall '-P 1'
_cell_length_a 7.117
_cell_length_b 9.235
_cell_length_c 10.138
_cell_angle_alpha 107.58
_cell_angle_beta 109.92
_cell_angle_gamma 101.45
loop_
_atom_site_label
_atom_site_fract_x
_atom_site_fract_y
_atom_site_fract_z
As1 0.000 0.000 0.000
P1 0.485 0.069 0.424
I1 0.087 0.925 0.276
I2 0.106 0.731 0.862
I3 0.396 0.251 0.122
I4 0.484 0.675 0.386
# VASP energy   -27.71 eV per formula unit
# V   562.4 Å³ per cell


[18]
# HRu2Pt, optimized geometry, DFT GGA-PBE
data_HRu2Pt
_space_group_name_H-M_alt 'R -3 m'
_space_group_IT_number 166
_space_group_name_Hall '-R 3 2"'
_cell_length_a 2.7913
_cell_length_b 2.7913
_cell_length_c 20.2877
_cell_angle_alpha 90.00
_cell_angle_beta 90.00
_cell_angle_gamma 120.00
loop_
_atom_site_label
_atom_site_fract_x
_atom_site_fract_y
_atom_site_fract_z
H1 0.0000 0.0000 0.0000
Ru1 0.0000 0.0000 0.2784
Pt1 0.0000 0.0000 0.5000
# VASP energy   -27.60 eV per formula unit
# V   136.9 Å³ per cell


[19]
# LaNpSi, optimized geometry, DFT GGA-PBE
data_LaNpSi
_space_group_name_H-M_alt 'C 1 2/m 1'
_space_group_IT_number 12
_space_group_name_Hall '-C 2y'
_cell_length_a 5.335
_cell_length_b 4.689
_cell_length_c 11.736
_cell_angle_alpha 90.00
_cell_angle_beta 90.71
_cell_angle_gamma 90.00
loop_
_atom_site_label
_atom_site_fract_x
_atom_site_fract_y
_atom_site_fract_z
La1 0.225 0.000 0.348
Np1 0.197 0.500 0.954
Si1 0.228 0.000 0.811
# VASP energy   -24.12 eV per formula unit
# V   293.5 Å³ per cell


[20]
# Pa4Ge2PS, optimized geometry, DFT GGA-PBE
data_Pa4Ge2PS
_space_group_name_H-M_alt 'P 1 2/m 1'
_space_group_IT_number 10
_space_group_name_Hall '-P 2y'
_cell_length_a 6.970
_cell_length_b 4.050
_cell_length_c 6.991
_cell_angle_alpha 90.00
_cell_angle_beta 109.65
_cell_angle_gamma 90.00
loop_
_atom_site_label
_atom_site_fract_x
_atom_site_fract_y
_atom_site_fract_z
Pa1 0.237 0.000 0.246
Pa2 0.237 0.500 0.746
Ge1 0.500 0.000 0.000
Ge2 0.500 0.500 0.500
P1 0.000 0.000 0.500
S1 0.000 0.500 0.000
# VASP energy   -64.46 eV per formula unit
# V   185.9 Å³ per cell


[21]
# KCu3, optimized geometry, DFT GGA-PBE
data_KCu3
_space_group_name_H-M_alt 'P 4/m m m'
_space_group_IT_number 123
_space_group_name_Hall '-P 4 2'
_cell_length_a 5.034
_cell_length_b 5.034
_cell_length_c 2.740
_cell_angle_alpha 90.00
_cell_angle_beta 90.00
_cell_angle_gamma 90.00
loop_
_atom_site_label
_atom_site_fract_x
_atom_site_fract_y
_atom_site_fract_z
K1 0.000 0.000 0.000
Cu1 0.000 0.500 0.500
Cu2 0.500 0.500 0.000
# VASP energy   -10.71 eV per formula unit
# V   69.4 Å³ per cell
# ΔE_f   0.668 eV/atom


[22]
# LiHoThMn, optimized geometry, DFT GGA-PBE
data_LiHoThMn
_space_group_name_H-M_alt 'F -4 3 m'
_space_group_IT_number 216
_space_group_name_Hall 'F -4 2 3'
_cell_length_a 7.054
_cell_length_b 7.054
_cell_length_c 7.054
_cell_angle_alpha 90.00
_cell_angle_beta 90.00
_cell_angle_gamma 90.00
loop_
_atom_site_label
_atom_site_fract_x
_atom_site_fract_y
_atom_site_fract_z
Li1 0.000 0.000 0.000
Ho1 0.250 0.250 0.250
Th1 0.250 0.250 0.750
Mn1 0.000 0.000 0.500
# VASP energy   -22.54 eV per formula unit
# V   351.0 Å³ per cell
# ΔE_f   0.135 eV/atom


[23]
# Ca2TaMoC, optimized geometry, DFT GGA-PBE
data_Ca2TaMoC
_space_group_name_H-M_alt 'P 4/m m m'
_space_group_IT_number 123
_space_group_name_Hall '-P 4 2'
_cell_length_a 5.928
_cell_length_b 5.928
_cell_length_c 4.026
_cell_angle_alpha 90.00
_cell_angle_beta 90.00
_cell_angle_gamma 90.00
loop_
_atom_site_label
_atom_site_fract_x
_atom_site_fract_y
_atom_site_fract_z
Ca1 0.000 0.500 0.000
Ta1 0.000 0.000 0.000
Mo1 0.500 0.500 0.500
C1 0.000 0.000 0.500
# VASP energy   -27.43 eV per formula unit
# V   141.5 Å³ per cell
# ΔE_f   1.695 eV/atom


[24]
# Cs2RbI2, optimized geometry, DFT GGA-PBE
data_Cs2RbI2
_space_group_name_H-M_alt 'P 4/m b m'
_space_group_IT_number 127
_space_group_name_Hall '-P 4 2ab'
_cell_length_a 10.490
_cell_length_b 10.490
_cell_length_c 5.300
_cell_angle_alpha 90.00
_cell_angle_beta 90.00
_cell_angle_gamma 90.00
loop_
_atom_site_label
_atom_site_fract_x
_atom_site_fract_y
_atom_site_fract_z
Cs1 0.150 0.350 0.000
Rb1 0.000 0.000 0.500
I1 0.153 0.653 0.500
# VASP energy   -11.55 eV per formula unit
# V   583.2 Å³ per cell


[25]
# TcSbSe2, optimized geometry, DFT GGA-PBE
data_TcSbSe2
_space_group_name_H-M_alt 'C m m m'
_space_group_IT_number 65
_space_group_name_Hall '-C 2 2'
_cell_length_a 5.360
_cell_length_b 9.317
_cell_length_c 3.317
_cell_angle_alpha 90.00
_cell_angle_beta 90.00
_cell_angle_gamma 90.00
loop_
_atom_site_label
_atom_site_fract_x
_atom_site_fract_y
_atom_site_fract_z
Tc1 0.000 0.000 0.000
Sb1 0.000 0.500 0.000
Se1 0.000 0.204 0.500
# VASP energy   -21.61 eV per formula unit
# V   165.7 Å³ per cell